(1)
Ac4SiAs2Br | PBE | relaxed

Cell and atoms, written as POSCAR:
```
Ac4SiAs2Br
1.0
-2.355 3.849 -0.632
-0.921 -1.813 -7.611
-6.610 -4.186 -0.872
Ac Si As Br
4 1 2 1
Direct
0.000 0.764 0.731
0.000 0.236 0.269
0.500 0.753 0.259
0.500 0.247 0.741
0.000 0.500 0.500
0.000 0.000 0.000
0.500 0.000 0.500
0.500 0.500 0.000
```

Properties
Space-group type: P2/m
E_form (uncorrected) (eV/atom): -1.263
Density of states at the Fermi level (states/eV/f.u.): 2.0
Uncorrected energy (eV per atom): -5.37
Density (kg/m³): 7251
M_tot (μB/f.u.): 0.000


(2)
Ac4SiAsBr2 | PBE | relaxed

Cell and atoms, written as POSCAR:
```
Ac4SiAsBr2
1.0
-0.184 0.405 -4.533
-4.967 -6.131 -0.347
-4.218 6.755 0.775
Ac Si As Br
4 1 1 2
Direct
0.500 0.233 0.215
0.500 0.767 0.785
0.000 0.256 0.784
0.000 0.744 0.216
0.000 0.000 0.000
0.500 0.500 0.000
0.500 0.000 0.500
0.000 0.500 0.500
```

Properties
Space-group type: P2/m
E_form (uncorrected) (eV/atom): -1.246
Density of states at the Fermi level (states/eV/f.u.): 4.6
Uncorrected energy (eV per atom): -4.98
Density (kg/m³): 7150
M_tot (μB/f.u.): 0.000


(3)
SrAcAsBr | PBE | relaxed

Cell and atoms, written as POSCAR:
```
SrAcAsBr
1.0
5.472 0.000 0.000
2.736 4.739 0.000
2.736 1.580 4.468
Sr Ac As Br
1 1 1 1
Direct
0.000 0.000 0.000
0.500 0.500 0.500
0.250 0.250 0.250
0.750 0.750 0.750
```

Properties
Space-group type: F-43m
E_form (uncorrected) (eV/atom): -1.255
Density of states at the Fermi level (states/eV/f.u.): 2.0
Uncorrected energy (eV per atom): -4.28
Distance to the lowest polymorph of the same formula (kJ/mol of atoms): 16.18
Density (kg/m³): 6727
M_tot (μB/f.u.): 0.000


(4)
SrAcAsBr | PBE | relaxed

Cell and atoms, written as POSCAR:
```
SrAcAsBr
1.0
4.455 -0.001 0.000
-2.227 3.858 0.000
-2.226 -1.287 7.969
Sr Ac As Br
1 1 1 1
Direct
0.498 0.147 0.661
0.111 0.954 0.080
0.303 0.549 0.868
0.966 0.381 0.361
```

Properties
Space-group type: R3m
E_form (uncorrected) (eV/atom): -1.423
Density of states at the Fermi level (states/eV/f.u.): 2.7
Uncorrected energy (eV per atom): -4.45
Distance to the lowest polymorph of the same formula (kJ/mol of atoms): 0.00
Density (kg/m³): 5692
M_tot (μB/f.u.): 0.000